No. 1
DFT (PBE) results for BaZn3Hg3 after structural relaxation.

Cell and atoms, written as POSCAR:
```
BaZn3Hg3
1.0
7.430 0.000 0.000
0.000 7.430 0.000
0.000 0.000 7.430
Ba Zn Hg
2 6 6
Direct
0.000 0.000 0.000 Ba
0.500 0.500 0.500 Ba
0.000 0.250 0.500 Zn
0.000 0.750 0.500 Zn
0.250 0.500 0.000 Zn
0.500 0.000 0.250 Zn
0.500 0.000 0.750 Zn
0.750 0.500 0.000 Zn
0.000 0.500 0.250 Hg
0.000 0.500 0.750 Hg
0.250 0.000 0.500 Hg
0.500 0.250 0.000 Hg
0.500 0.750 0.000 Hg
0.750 0.000 0.500 Hg
```

Properties
- calculated total energy (eV/cell) = -13.79
- energy of formation from the pure elements (eV/atom) = -0.035
- M_tot (μB/cell) = 0.00

---

No. 2
DFT (PBE) results for Sr4La2MgRu2O12 after structural relaxation.

Cell and atoms, written as POSCAR:
```
Sr4La2MgRu2O12
1.0
-1.948 1.948 19.216
1.948 -1.948 19.216
1.948 1.948 -19.216
Sr La Mg Ru O
4 2 1 2 12
Direct
0.117 0.117 0.000 Sr
0.216 0.216 0.000 Sr
0.784 0.784 0.000 Sr
0.883 0.883 0.000 Sr
0.455 0.455 0.000 La
0.545 0.545 0.000 La
0.000 0.000 0.000 Mg
0.334 0.334 0.000 Ru
0.666 0.666 0.000 Ru
0.000 0.500 0.500 O
0.057 0.057 0.000 O
0.166 0.666 0.500 O
0.279 0.279 0.000 O
0.334 0.834 0.500 O
0.390 0.390 0.000 O
0.500 0.000 0.500 O
0.610 0.610 0.000 O
0.666 0.166 0.500 O
0.721 0.721 0.000 O
0.834 0.334 0.500 O
0.943 0.943 0.000 O
```

Properties
- calculated total energy (eV/cell) = -147.02
- formation energy (no corrections) (eV per atom) = -2.42
- M_tot (μB/cell) = 0.79

---

No. 3
DFT (PBE) results for Tl3CoBr after structural relaxation.

Cell and atoms, written as POSCAR:
```
Tl3CoBr
1.0
6.044 0.000 0.000
0.000 6.044 0.000
0.000 0.000 6.044
Tl Co Br
3 1 1
Direct
0.000 0.000 0.500 Tl
0.000 0.500 0.000 Tl
0.500 0.000 0.000 Tl
0.500 0.500 0.500 Co
0.000 0.000 0.000 Br
```

Properties
- calculated total energy (eV/cell) = -12.19
- energy relative to the lowest polymorph listed for this composition (meV per atom) = 866
- formation energy (no corrections) (eV per atom) = 0.74
- M_tot (μB/cell) = 1.96

---

No. 4
DFT (PBE) results for Ba2Cd5Hg4 after structural relaxation.

Cell and atoms, written as POSCAR:
```
Ba2Cd5Hg4
1.0
5.888 -5.175 0.000
5.888 5.175 0.000
-3.336 0.000 5.326
Ba Cd Hg
2 5 4
Direct
0.240 0.240 0.240 Ba
0.760 0.760 0.760 Ba
0.000 0.000 0.500 Cd
0.263 0.737 0.256 Cd
0.263 0.737 0.744 Cd
0.737 0.263 0.256 Cd
0.737 0.263 0.744 Cd
0.105 0.418 0.761 Hg
0.418 0.105 0.761 Hg
0.582 0.895 0.239 Hg
0.895 0.582 0.239 Hg
```

Properties
- calculated total energy (eV/cell) = -12.53
- energy of formation from the pure elements (eV/atom) = -0.264
- energy relative to the lowest polymorph listed for this composition (meV per atom) = 2
- M_tot (μB/cell) = 0.00

---

No. 5
DFT (PBE) results for LaAlPb after structural relaxation.

Cell and atoms, written as POSCAR:
```
LaAlPb
1.0
3.505 0.000 0.000
-1.752 3.035 0.000
0.000 0.000 7.933
La Al Pb
1 1 1
Direct
0.000 0.000 0.000 La
0.667 0.333 0.667 Al
0.333 0.667 0.373 Pb
```

Properties
- calculated total energy (eV/cell) = -12.43
- energy of formation from the pure elements (eV/atom) = -0.017
- M_tot (μB/cell) = 0.00

---

No. 6
DFT (PBE) results for Al2CdSe after structural relaxation.

Cell and atoms, written as POSCAR:
```
Al2CdSe
1.0
3.654 0.000 0.000
0.000 4.464 0.000
0.000 0.000 5.171
Al Cd Se
2 1 1
Direct
0.000 0.000 0.000 Al
0.500 0.500 0.000 Al
0.000 0.500 0.500 Cd
0.500 0.000 0.500 Se
```

Properties
- calculated total energy (eV/cell) = -11.30
- energy relative to the lowest polymorph listed for this composition (meV per atom) = 276
- formation energy (no corrections) (eV per atom) = 0.15
- M_tot (μB/cell) = 0.00

---

No. 7
DFT (PBE) results for SrTcW2 after structural relaxation.

Cell and atoms, written as POSCAR:
```
SrTcW2
1.0
3.149 0.000 0.000
0.000 4.684 0.000
0.000 0.000 4.975
Sr Tc W
1 1 2
Direct
0.000 0.000 0.000 Sr
0.500 0.500 0.000 Tc
0.000 0.500 0.500 W
0.500 0.000 0.500 W
```

Properties
- calculated total energy (eV/cell) = -33.26
- energy of formation from the pure elements (eV/atom) = 1.174
- energy relative to the lowest polymorph listed for this composition (meV per atom) = 495
- M_tot (μB/cell) = 0.00

---

No. 8
DFT (PBE) results for TiOsRuS after structural relaxation.

Cell and atoms, written as POSCAR:
```
TiOsRuS
1.0
9.339 0.000 0.000
0.000 2.996 0.000
-0.702 0.000 4.386
Ti Os Ru S
2 2 2 2
Direct
0.000 0.000 0.000 Ti
0.500 0.500 0.000 Ti
0.234 0.500 0.315 Os
0.734 0.000 0.315 Os
0.461 0.000 0.465 Ru
0.961 0.500 0.465 Ru
0.181 0.500 0.798 S
0.681 0.000 0.798 S
```

Properties
- calculated total energy (eV/cell) = -66.45
- energy relative to the lowest polymorph listed for this composition (meV per atom) = 164
- formation energy (no corrections) (eV per atom) = -0.17
- M_tot (μB/cell) = 0.00

---

No. 9
DFT (PBE) results for NaPaTl2S4 after structural relaxation.

Cell and atoms, written as POSCAR:
```
NaPaTl2S4
1.0
7.030 0.000 0.000
0.000 4.141 0.000
-2.296 0.000 7.422
Na Pa Tl S
1 1 2 4
Direct
0.000 0.000 0.000 Na
0.500 0.500 0.000 Pa
0.000 0.500 0.500 Tl
0.500 0.000 0.500 Tl
0.270 0.500 0.201 S
0.289 0.000 0.804 S
0.711 0.000 0.196 S
0.730 0.500 0.799 S
```

Properties
- calculated total energy (eV/cell) = -40.82
- formation energy (no corrections) (eV per atom) = -1.10
- M_tot (μB/cell) = 0.00

---

No. 10
DFT (PBE) results for CeBeZnCu6 after structural relaxation.

Cell and atoms, written as POSCAR:
```
CeBeZnCu6
1.0
-2.574 3.852 6.792
2.574 -3.852 6.792
2.574 3.852 -6.792
Ce Be Zn Cu
2 2 2 12
Direct
0.252 0.002 0.250 Ce
0.748 0.998 0.750 Ce
0.500 0.000 0.000 Be
0.500 0.500 0.500 Be
0.000 0.500 0.500 Zn
0.500 0.500 0.000 Zn
0.003 0.753 0.250 Cu
0.147 0.404 0.233 Cu
0.147 0.914 0.743 Cu
0.329 0.086 0.733 Cu
0.329 0.596 0.243 Cu
0.365 0.615 0.750 Cu
0.635 0.385 0.250 Cu
0.671 0.404 0.757 Cu
0.671 0.914 0.267 Cu
0.853 0.086 0.257 Cu
0.853 0.596 0.767 Cu
0.997 0.247 0.750 Cu
```

Properties
- calculated total energy (eV/cell) = -70.36
- energy of formation from the pure elements (eV/atom) = 0.037
- M_tot (μB/cell) = 1.67

---

No. 11
DFT (PBE) results for Co2CuHg after structural relaxation.

Cell and atoms, written as POSCAR:
```
Co2CuHg
1.0
2.756 0.000 0.000
-1.378 2.387 0.000
0.000 0.000 25.959
Co Cu Hg
6 3 3
Direct
0.000 0.000 0.243 Co
0.000 0.000 0.757 Co
0.333 0.667 0.424 Co
0.333 0.667 0.909 Co
0.667 0.333 0.091 Co
0.667 0.333 0.576 Co
0.000 0.000 0.500 Cu
0.333 0.667 0.167 Cu
0.667 0.333 0.833 Cu
0.000 0.000 0.000 Hg
0.333 0.667 0.667 Hg
0.667 0.333 0.333 Hg
```

Properties
- calculated total energy (eV/cell) = -49.70
- energy of formation from the pure elements (eV/atom) = 0.510
- M_tot (μB/cell) = 9.91

---

No. 12
DFT (PBE) results for RbNiGe2 after structural relaxation.

Cell and atoms, written as POSCAR:
```
RbNiGe2
1.0
6.917 0.000 0.000
0.000 6.917 0.000
0.000 0.000 6.917
Rb Ni Ge
4 4 8
Direct
0.000 0.000 0.000 Rb
0.000 0.500 0.500 Rb
0.500 0.000 0.500 Rb
0.500 0.500 0.000 Rb
0.000 0.000 0.500 Ni
0.000 0.500 0.000 Ni
0.500 0.000 0.000 Ni
0.500 0.500 0.500 Ni
0.250 0.250 0.250 Ge
0.250 0.250 0.750 Ge
0.250 0.750 0.250 Ge
0.250 0.750 0.750 Ge
0.750 0.250 0.250 Ge
0.750 0.250 0.750 Ge
0.750 0.750 0.250 Ge
0.750 0.750 0.750 Ge
```

Properties
- calculated total energy (eV/cell) = -52.88
- energy of formation from the pure elements (eV/atom) = 0.691
- energy relative to the lowest polymorph listed for this composition (meV per atom) = 843
- M_tot (μB/cell) = 0.00